1.
DFT (PBE) results for a relaxed BaHfGe2O8 crystal.

Cell lengths 5.6682, 5.6682, 7.4546 Å; angles 90.00, 90.00, 120.00 degrees
Element x y z (fractional)
Ba 0.0000 0.0000 0.0000
O 0.1628 0.8381 0.6749
O 0.6667 0.3333 0.0185
O 0.1619 0.3247 0.6749
O 0.3333 0.6667 0.9815
O 0.8372 0.1619 0.3251
O 0.6753 0.8372 0.6749
O 0.3247 0.1628 0.3251
O 0.8381 0.6753 0.3251
Ge 0.3333 0.6667 0.7411
Ge 0.6667 0.3333 0.2589
Hf 0.0000 0.0000 0.5000

**Total DFT energy (no corrections)**: -0.2610 hartree per atom
**D(E_F)**: 0.7674 states/eV per atom

2.
DFT (PBE) results for a relaxed PmPrSiNi crystal.

Cell lengths 5.0746, 5.0746, 5.0746 Å; angles 60.00, 60.00, 60.00 degrees
Element x y z (fractional)
Pr 0.0000 0.0000 0.0000
Pm 0.5000 0.5000 0.5000
Ni 0.2500 0.2500 0.2500
Si 0.7500 0.7500 0.7500

**Excess energy over the best structure of this formula in the dataset**: 0.1950 eV/atom
**D(E_F)**: 0.5257 states/eV per atom

3.
DFT (PBE) results for a relaxed La6Zn2I3Br crystal.

Cell lengths 7.5842, 7.5842, 8.2803 Å; angles 98.76, 98.76, 120.28 degrees
Element x y z (fractional)
Zn 0.3309 0.6691 0.0000
Zn 0.6691 0.3309 0.0000
La 0.0736 0.4096 0.2183
La 0.4096 0.0736 0.2183
La 0.5904 0.9264 0.7817
La 0.9264 0.5904 0.7817
La 0.2694 0.2694 0.7893
La 0.7306 0.7306 0.2107
I 0.8357 0.1643 0.5000
I 0.5000 0.5000 0.5000
I 0.1643 0.8357 0.5000
Br 0.0000 0.0000 0.0000

**Total DFT energy (no corrections)**: -0.1479 hartree per atom
**D(E_F)**: 0.8869 states/eV per atom